! Ta2Al2O5 | the Open Quantum Materials Database | PBE | relaxed; values from VASP
&SYSTEM
  ibrav = 0, nat = 9, ntyp = 3
/
ATOMIC_SPECIES
Al 26.98 Al.upf
O 16.00 O.upf
Ta 180.95 Ta.upf
CELL_PARAMETERS angstrom
-0.244 4.418 -6.108
-3.982 -0.119 0.073
-0.054 3.227 2.336
ATOMIC_POSITIONS crystal
Al 0.000 0.000 0.000
Al 0.500 0.000 0.000
O 0.231 0.500 0.000
O 0.769 0.500 0.000
O 0.231 0.000 0.500
O 0.769 0.000 0.500
O 0.500 0.500 0.500
Ta 0.234 0.500 0.500
Ta 0.766 0.500 0.500
! ΔE to the lowest computed polymorph: 0.000 eV per formula unit
! Symmetry: No. 123


! Tb2AlO4 | the Open Quantum Materials Database | PBE | relaxed; values from VASP
&SYSTEM
  ibrav = 0, nat = 14, ntyp = 3
/
ATOMIC_SPECIES
Al 26.98 Al.upf
O 16.00 O.upf
Tb 158.93 Tb.upf
CELL_PARAMETERS angstrom
4.527 -4.527 0.000
-4.527 0.000 -4.527
4.527 4.527 0.000
ATOMIC_POSITIONS crystal
Al 0.000 0.000 0.000
Al 0.750 0.500 0.250
O 0.115 0.230 0.345
O 0.635 0.730 0.365
O 0.635 0.270 0.365
O 0.095 0.730 0.365
O 0.115 0.230 0.885
O 0.655 0.770 0.885
O 0.115 0.770 0.885
O 0.635 0.270 0.905
Tb 0.375 0.750 0.125
Tb 0.875 0.250 0.625
Tb 0.375 0.250 0.625
Tb 0.375 0.750 0.625
! VASP energy: -7.7235 eV/atom
! Symmetry: No. 227


! Tb4Al2O9 | the Open Quantum Materials Database | PBE | relaxed; values from VASP
&SYSTEM
  ibrav = 0, nat = 60, ntyp = 3
/
ATOMIC_SPECIES
Al 26.98 Al.upf
O 16.00 O.upf
Tb 158.93 Tb.upf
CELL_PARAMETERS angstrom
-4.581 0.039 -5.812
-4.522 -8.822 3.505
-4.751 5.732 8.300
ATOMIC_POSITIONS crystal
Al 0.655 0.178 0.113
Al 0.218 0.180 0.127
Al 0.782 0.680 0.373
Al 0.345 0.678 0.387
Al 0.655 0.322 0.613
Al 0.218 0.320 0.627
Al 0.782 0.820 0.873
Al 0.345 0.822 0.887
O 0.927 0.765 0.020
O 0.360 0.769 0.039
O 0.922 0.493 0.107
O 0.436 0.508 0.108
O 0.434 0.240 0.115
O 0.212 0.018 0.153
O 0.694 0.018 0.160
O 0.768 0.763 0.232
O 0.792 0.263 0.246
O 0.208 0.763 0.254
O 0.232 0.263 0.268
O 0.306 0.518 0.340
O 0.788 0.518 0.347
O 0.566 0.740 0.385
O 0.564 0.008 0.392
O 0.078 0.993 0.393
O 0.640 0.269 0.461
O 0.073 0.265 0.480
O 0.927 0.735 0.520
O 0.360 0.731 0.539
O 0.922 0.007 0.607
O 0.436 0.992 0.608
O 0.434 0.260 0.615
O 0.212 0.482 0.653
O 0.694 0.482 0.660
O 0.768 0.737 0.732
O 0.792 0.237 0.746
O 0.208 0.737 0.754
O 0.232 0.237 0.768
O 0.306 0.982 0.840
O 0.788 0.982 0.847
O 0.566 0.760 0.885
O 0.564 0.492 0.892
O 0.078 0.507 0.893
O 0.640 0.231 0.961
O 0.073 0.235 0.980
Tb 0.661 0.626 0.063
Tb 0.163 0.620 0.086
Tb 0.976 0.906 0.192
Tb 0.477 0.890 0.215
Tb 0.523 0.390 0.285
Tb 0.024 0.406 0.308
Tb 0.837 0.120 0.414
Tb 0.339 0.126 0.437
Tb 0.661 0.874 0.563
Tb 0.163 0.880 0.586
Tb 0.976 0.594 0.692
Tb 0.477 0.610 0.715
Tb 0.523 0.110 0.785
Tb 0.024 0.094 0.808
Tb 0.837 0.380 0.914
Tb 0.339 0.374 0.937
! VASP energy: -8.1062 eV/atom
! Symmetry: No. 14


! Tb2Al2O5 | the Open Quantum Materials Database | PBE | relaxed; values from VASP
&SYSTEM
  ibrav = 0, nat = 9, ntyp = 3
/
ATOMIC_SPECIES
Al 26.98 Al.upf
O 16.00 O.upf
Tb 158.93 Tb.upf
CELL_PARAMETERS angstrom
-5.360 -3.909 2.348
1.507 -3.008 -1.567
1.874 -0.691 3.128
ATOMIC_POSITIONS crystal
Al 0.233 0.500 0.500
Al 0.767 0.500 0.500
O 0.243 0.500 0.000
O 0.757 0.500 0.000
O 0.243 0.000 0.500
O 0.757 0.000 0.500
O 0.500 0.500 0.500
Tb 0.000 0.000 0.000
Tb 0.500 0.000 0.000
! ΔE to the lowest computed polymorph: 0.000 eV per formula unit
! Symmetry: No. 123


! Tb2Al2O5 | the Open Quantum Materials Database | PBE | relaxed; values from VASP
&SYSTEM
  ibrav = 0, nat = 9, ntyp = 3
/
ATOMIC_SPECIES
Al 26.98 Al.upf
O 16.00 O.upf
Tb 158.93 Tb.upf
CELL_PARAMETERS angstrom
8.969 0.000 0.000
0.000 3.782 0.000
0.000 0.000 3.782
ATOMIC_POSITIONS crystal
Al 0.000 0.000 0.000
Al 0.500 0.000 0.000
O 0.132 0.500 0.000
O 0.868 0.500 0.000
O 0.132 0.000 0.500
O 0.868 0.000 0.500
O 0.500 0.500 0.500
Tb 0.244 0.500 0.500
Tb 0.756 0.500 0.500
! ΔE to the lowest computed polymorph: 6.368 eV per formula unit
! Symmetry: No. 123


! TbAl3O6 | the Open Quantum Materials Database | PBE | relaxed; values from VASP
&SYSTEM
  ibrav = 0, nat = 20, ntyp = 3
/
ATOMIC_SPECIES
Al 26.98 Al.upf
O 16.00 O.upf
Tb 158.93 Tb.upf
CELL_PARAMETERS angstrom
-4.201 -5.175 -0.696
3.501 -4.899 2.941
-2.074 3.856 4.100
ATOMIC_POSITIONS crystal
Al 0.752 0.641 0.191
Al 0.186 0.814 0.250
Al 0.359 0.248 0.309
Al 0.641 0.752 0.691
Al 0.814 0.186 0.750
Al 0.248 0.359 0.809
O 0.832 0.384 0.029
O 0.431 0.258 0.050
O 0.181 0.044 0.168
O 0.956 0.819 0.332
O 0.742 0.569 0.450
O 0.616 0.168 0.471
O 0.384 0.832 0.529
O 0.258 0.431 0.550
O 0.044 0.181 0.668
O 0.819 0.956 0.832
O 0.569 0.742 0.950
O 0.168 0.616 0.971
Tb 0.819 0.181 0.250
Tb 0.181 0.819 0.750
! VASP energy: -7.6361 eV/atom
! Symmetry: No. 15


! AlTcO6 | the Open Quantum Materials Database | PBE | relaxed; values from VASP
&SYSTEM
  ibrav = 0, nat = 8, ntyp = 3
/
ATOMIC_SPECIES
Al 26.98 Al.upf
O 16.00 O.upf
Tc 98.00 Tc.upf
CELL_PARAMETERS angstrom
0.000 3.409 3.409
3.409 0.000 3.409
3.409 3.409 0.000
ATOMIC_POSITIONS crystal
Al 0.000 0.000 0.000
O 0.738 0.262 0.262
O 0.262 0.738 0.262
O 0.738 0.738 0.262
O 0.262 0.262 0.738
O 0.738 0.262 0.738
O 0.262 0.738 0.738
Tc 0.250 0.250 0.250
! VASP energy: -5.3239 eV/atom
! Symmetry: No. 216


! TmAlO3 | the Open Quantum Materials Database | PBE | relaxed; values from VASP
&SYSTEM
  ibrav = 0, nat = 20, ntyp = 3
/
ATOMIC_SPECIES
Al 26.98 Al.upf
O 16.00 O.upf
Tm 168.93 Tm.upf
CELL_PARAMETERS angstrom
5.108 0.000 0.000
0.000 5.339 0.000
0.000 0.000 7.316
ATOMIC_POSITIONS crystal
Al 0.500 0.000 0.000
Al 0.000 0.500 0.000
Al 0.500 0.000 0.500
Al 0.000 0.500 0.500
O 0.700 0.299 0.050
O 0.800 0.799 0.050
O 0.096 0.471 0.250
O 0.404 0.971 0.250
O 0.700 0.299 0.450
O 0.800 0.799 0.450
O 0.200 0.201 0.550
O 0.300 0.701 0.550
O 0.596 0.029 0.750
O 0.904 0.529 0.750
O 0.200 0.201 0.950
O 0.300 0.701 0.950
Tm 0.984 0.063 0.250
Tm 0.516 0.563 0.250
Tm 0.484 0.437 0.750
Tm 0.016 0.937 0.750
! VASP energy: -7.9738 eV/atom
! Symmetry: No. 62


! TmAl3O | the Open Quantum Materials Database | PBE | relaxed; values from VASP
&SYSTEM
  ibrav = 0, nat = 5, ntyp = 3
/
ATOMIC_SPECIES
Al 26.98 Al.upf
O 16.00 O.upf
Tm 168.93 Tm.upf
CELL_PARAMETERS angstrom
4.338 0.000 0.000
0.000 4.338 0.000
0.000 0.000 4.338
ATOMIC_POSITIONS crystal
Al 0.500 0.500 0.000
Al 0.500 0.000 0.500
Al 0.000 0.500 0.500
O 0.500 0.500 0.500
Tm 0.000 0.000 0.000
! VASP energy: -4.7124 eV/atom
! Symmetry: No. 221


! Tm2Al2O5 | the Open Quantum Materials Database | PBE | relaxed; values from VASP
&SYSTEM
  ibrav = 0, nat = 9, ntyp = 3
/
ATOMIC_SPECIES
Al 26.98 Al.upf
O 16.00 O.upf
Tm 168.93 Tm.upf
CELL_PARAMETERS angstrom
8.647 0.000 0.000
0.000 3.768 0.000
0.000 0.000 3.768
ATOMIC_POSITIONS crystal
Al 0.000 0.000 0.000
Al 0.500 0.000 0.000
O 0.137 0.500 0.000
O 0.863 0.500 0.000
O 0.137 0.000 0.500
O 0.863 0.000 0.500
O 0.500 0.500 0.500
Tm 0.244 0.500 0.500
Tm 0.756 0.500 0.500
! ΔE to the lowest computed polymorph: 5.054 eV per formula unit
! Symmetry: No. 123


! Tm2Al2O5 | the Open Quantum Materials Database | PBE | relaxed; values from VASP
&SYSTEM
  ibrav = 0, nat = 9, ntyp = 3
/
ATOMIC_SPECIES
Al 26.98 Al.upf
O 16.00 O.upf
Tm 168.93 Tm.upf
CELL_PARAMETERS angstrom
-6.417 1.061 2.320
-0.496 -3.639 0.293
1.268 0.105 3.458
ATOMIC_POSITIONS crystal
Al 0.229 0.500 0.500
Al 0.771 0.500 0.500
O 0.241 0.500 0.000
O 0.759 0.500 0.000
O 0.241 0.000 0.500
O 0.759 0.000 0.500
O 0.500 0.500 0.500
Tm 0.000 0.000 0.000
Tm 0.500 0.000 0.000
! ΔE to the lowest computed polymorph: 0.000 eV per formula unit
! Symmetry: No. 123


! TmAlO3 | the Open Quantum Materials Database | PBE | relaxed; values from VASP
&SYSTEM
  ibrav = 0, nat = 20, ntyp = 3
/
ATOMIC_SPECIES
Al 26.98 Al.upf
O 16.00 O.upf
Tm 168.93 Tm.upf
CELL_PARAMETERS angstrom
5.320 0.000 0.000
0.000 5.310 0.000
0.000 0.000 8.235
ATOMIC_POSITIONS crystal
Al 0.472 0.490 0.250
Al 0.028 0.990 0.250
Al 0.972 0.010 0.750
Al 0.528 0.510 0.750
O 0.642 0.355 0.090
O 0.858 0.855 0.090
O 0.158 0.320 0.250
O 0.342 0.820 0.250
O 0.642 0.355 0.410
O 0.858 0.855 0.410
O 0.142 0.145 0.590
O 0.358 0.645 0.590
O 0.658 0.180 0.750
O 0.842 0.680 0.750
O 0.142 0.145 0.910
O 0.358 0.645 0.910
Tm 0.500 0.000 0.000
Tm 0.000 0.500 0.000
Tm 0.500 0.000 0.500
Tm 0.000 0.500 0.500
! VASP energy: -7.7356 eV/atom
! Symmetry: No. 62